Rb3MnCr2F9 | PBE+U | optimized geometry

abc: 6.0580 6.0580 7.4112
angles: 90.00 90.00 120.00
Closest atoms and distances in Å follow each position.
Atoms (fractional coordinates):
Rb (0.3333, 0.6667, 0.6652)  12 F 3.03-3.04
Rb (0.0000, 0.0000, 0.0000)  12 F 3.02-3.03
Rb (0.6667, 0.3333, 0.3348)  12 F 3.03-3.04
Mn (0.0000, 0.0000, 0.5000)  6 F 2.15
Cr (0.3333, 0.6667, 0.1635)  6 F 2.13-2.15
Cr (0.6667, 0.3333, 0.8365)  6 F 2.13-2.15
F (0.8331, 0.1669, 0.6681)  1 Cr 2.15, 1 Mn 2.15
F (0.8331, 0.6662, 0.6681)  1 Cr 2.15, 1 Mn 2.15
F (0.3338, 0.1669, 0.6681)  1 Cr 2.15, 1 Mn 2.15
F (0.6662, 0.8331, 0.3319)  1 Cr 2.15, 1 Mn 2.15
F (0.1669, 0.3338, 0.3319)  1 Cr 2.15, 1 Mn 2.15
F (0.1669, 0.8331, 0.3319)  1 Cr 2.15, 1 Mn 2.15
F (0.5000, 0.0000, 0.0000)  2 Cr 2.13
F (0.0000, 0.5000, 0.0000)  2 Cr 2.13
F (0.5000, 0.5000, 0.0000)  2 Cr 2.13

Computed properties:
ρ (Mg/m³): 4.13
Space group: P-3m1 (164)
E_tot (hartree per atom): -0.2010
DOS(E_F) (states/eV/cell): 2.26